6
Lattice="4.487 0.000 0.000 0.000 4.487 0.000 0.000 0.000 7.073" Properties=species:S:1:pos:R:3 comment="SrLiAs, relaxed, DFT PBE-GGA" crystal_system=tetragonal magnetic_moment_mub_per_cell=0.0 density_g_cm3=3.95 formation_enthalpy_0k_ev_per_atom=-1.026 pbc="T T T"
Sr 1.122 1.122 1.254
Sr 3.366 3.366 5.819
Li 1.122 3.366 3.537
Li 3.366 1.122 3.537
As 1.122 1.122 5.089
As 3.366 3.366 1.984